P2IrAuCl: optimized geometry, PBE.

Lattice parameters (Å, degrees): 4.558 4.558 5.047 90.00 90.00 90.00
Space group P4/mmm (No. 123)
Symmetry-distinct sites (fractional):
P: 0.000 0.500 0.000 (multiplicity 2)
Ir: 0.000 0.000 0.000 (multiplicity 1)
Au: 0.500 0.500 0.500 (multiplicity 1)
Cl: 0.000 0.000 0.500 (multiplicity 1)

Uncorrected energy: -4.3329 eV/atom
Energy relative to the elements, uncorrected: 628.1 meV/atom
Crystal system: tetragonal
D(E_F): 0.685 states/eV/atom

CsYNi2: optimized geometry, PBE.

Lattice parameters (Å, degrees): 7.156 7.156 7.156 90.00 90.00 90.00
Space group Fm-3m (No. 225)
Symmetry-distinct sites (fractional):
Cs: 0.000 0.000 0.000 (multiplicity 4)
Y: 0.000 0.000 0.500 (multiplicity 4)
Ni: 0.250 0.250 0.250 (multiplicity 8)

Uncorrected energy: -4.0433 eV/atom
Crystal system: cubic
D(E_F): 0.486 states/eV/atom

K2PtPbN: optimized geometry, PBE.

Lattice parameters (Å, degrees): 6.434 6.434 3.678 90.00 90.00 90.00
Space group P4/mmm (No. 123)
Symmetry-distinct sites (fractional):
K: 0.000 0.500 0.000 (multiplicity 2)
Pt: 0.000 0.000 0.500 (multiplicity 1)
Pb: 0.500 0.500 0.500 (multiplicity 1)
N: 0.000 0.000 0.000 (multiplicity 1)

Uncorrected energy: -4.0328 eV/atom
Energy relative to the elements, uncorrected: 21.1 meV/atom
Crystal system: tetragonal
D(E_F): 0.497 states/eV/atom

TiAgGeCl2: optimized geometry, PBE.

Lattice parameters (Å, degrees): 4.811 4.811 5.548 90.00 90.00 90.00
Space group P4/mmm (No. 123)
Symmetry-distinct sites (fractional):
Ti: 0.000 0.000 0.000 (multiplicity 1)
Ag: 0.000 0.000 0.500 (multiplicity 1)
Ge: 0.500 0.500 0.000 (multiplicity 1)
Cl: 0.000 0.500 0.500 (multiplicity 2)

Uncorrected energy: -3.2121 eV/atom
Energy relative to the elements, uncorrected: 599.2 meV/atom
Crystal system: tetragonal
D(E_F): 1.101 states/eV/atom